# CoB2O PBE with a Hubbard U relaxed
data_CoB2O
_cell_length_a 4.540
_cell_length_b 4.540
_cell_length_c 6.248
_cell_angle_alpha 90.00
_cell_angle_beta 90.00
_cell_angle_gamma 90.00
_symmetry_space_group_name_H-M 'P 1'
_symmetry_Int_Tables_number 1
loop_
_symmetry_equiv_pos_as_xyz
'x,y,z'
loop_
_atom_site_label
_atom_site_fract_x
_atom_site_fract_y
_atom_site_fract_z
Co1 0.000 0.000 0.000
Co2 0.000 0.500 0.250
Co3 0.500 0.000 0.750
Co4 0.500 0.500 0.500
B1 0.186 0.250 0.625
B2 0.250 0.686 0.875
B3 0.250 0.814 0.375
B4 0.314 0.250 0.125
B5 0.686 0.750 0.125
B6 0.750 0.186 0.375
B7 0.750 0.314 0.875
B8 0.814 0.750 0.625
O1 0.000 0.000 0.500
O2 0.000 0.500 0.750
O3 0.500 0.000 0.250
O4 0.500 0.500 0.000
# Space group   I-42d (122)
# Magnetization   0.227 μB per atom
# E   -0.416 Ry per atom